No. 1
DFT (PBE-GGA) results for a relaxed structure of MgNpNi4.

Summary:
Raw total energy in eV/f.u.: -38.683
Symmetry: F-43m (216)

abc: 4.939 4.939 4.939
angles: 60.00 60.00 60.00
Atoms (fractional coordinates):
Mg1 0.000 0.000 0.000
Np1 0.250 0.250 0.250
Ni1 0.122 0.626 0.626
Ni2 0.626 0.122 0.626
Ni3 0.626 0.626 0.122
Ni4 0.626 0.626 0.626



No. 2
DFT (PBE-GGA) results for a relaxed structure of Mg2NpNi9.

Summary:
Raw total energy in eV/f.u.: -70.335
Symmetry: R-3m (166)

abc: 8.372 8.372 8.372
angles: 33.55 33.55 33.55
Atoms (fractional coordinates):
Mg1 0.144 0.144 0.144
Mg2 0.856 0.856 0.856
Np1 0.000 0.000 0.000
Ni1 0.082 0.585 0.585
Ni2 0.334 0.334 0.334
Ni3 0.415 0.415 0.918
Ni4 0.415 0.918 0.415
Ni5 0.500 0.500 0.500
Ni6 0.585 0.082 0.585
Ni7 0.585 0.585 0.082
Ni8 0.666 0.666 0.666
Ni9 0.918 0.415 0.415



Number 1: energy relative to the elements -3.93 kcal/mol of atoms. Number 2: energy relative to the elements -4.18 kcal/mol of atoms.